Record 1
TiTlBiOs2: relaxed, PBE.

The calculation puts the total energy at -24.11 eV/f.u. The total moment is 0.647 μB per cell. The value obtained for the density of states at the Fermi level is 1.71 states/eV per atom. Its symmetry is P4/mmm.

The structure in POSCAR format:
```
TiTlBiOs2
1.0
4.9593 0.0000 0.0000
0.0000 4.9593 0.0000
0.0000 0.0000 5.4004
Ti Tl Bi Os
1 1 1 2
Direct
0.0000 0.0000 0.0000
0.5000 0.5000 0.5000
0.5000 0.5000 0.0000
0.0000 0.5000 0.5000
0.5000 0.0000 0.5000
```

***

Record 2
Tm12Co3H5: relaxed, PBE.

The calculation puts the total energy at -96.53 eV/f.u. The total moment is 0.001 μB per cell. The value obtained for the density of states at the Fermi level is 0.76 states/eV per atom. Its symmetry is Ia-3d.

The structure in POSCAR format:
```
Tm12Co3H5
1.0
-7.3248 7.3248 7.3248
7.3248 -7.3248 7.3248
7.3248 7.3248 -7.3248
Tm Co H
48 12 20
Direct
0.0285 0.2177 0.1227
0.0285 0.3108 0.9058
0.0942 0.6227 0.4050
0.0942 0.9715 0.6892
0.0950 0.7177 0.6892
0.0950 0.8773 0.4058
0.1227 0.0285 0.2177
0.1227 0.5942 0.9050
0.1892 0.2177 0.5950
0.1892 0.4715 0.5942
0.2177 0.1227 0.0285
0.2177 0.5950 0.1892
0.2823 0.3108 0.9050
0.2823 0.4715 0.3773
0.3108 0.9050 0.2823
0.3108 0.9058 0.0285
0.3773 0.2823 0.4715
0.3773 0.5950 0.9058
0.4050 0.0942 0.6227
0.4050 0.8108 0.7823
0.4058 0.0950 0.8773
0.4058 0.8108 0.5285
0.4715 0.3773 0.2823
0.4715 0.5942 0.1892
0.5285 0.4058 0.8108
0.5285 0.6227 0.7177
0.5942 0.1892 0.4715
0.5942 0.9050 0.1227
0.5950 0.1892 0.2177
0.5950 0.9058 0.3773
0.6227 0.4050 0.0942
0.6227 0.7177 0.5285
0.6892 0.0942 0.9715
0.6892 0.0950 0.7177
0.7177 0.5285 0.6227
0.7177 0.6892 0.0950
0.7823 0.4050 0.8108
0.7823 0.8773 0.9715
0.8108 0.5285 0.4058
0.8108 0.7823 0.4050
0.8773 0.4058 0.0950
0.8773 0.9715 0.7823
0.9050 0.1227 0.5942
0.9050 0.2823 0.3108
0.9058 0.0285 0.3108
0.9058 0.3773 0.5950
0.9715 0.6892 0.0942
0.9715 0.7823 0.8773
0.1250 0.2500 0.3750
0.1250 0.3750 0.7500
0.2500 0.3750 0.1250
0.2500 0.8750 0.6250
0.3750 0.1250 0.2500
0.3750 0.7500 0.1250
0.6250 0.2500 0.8750
0.6250 0.8750 0.7500
0.7500 0.1250 0.3750
0.7500 0.6250 0.8750
0.8750 0.6250 0.2500
0.8750 0.7500 0.6250
0.0000 0.0000 0.0000
0.0000 0.0000 0.5000
0.0000 0.5000 0.0000
0.0000 0.5000 0.5000
0.1250 0.7500 0.8750
0.1250 0.8750 0.2500
0.2500 0.1250 0.8750
0.2500 0.6250 0.3750
0.3750 0.2500 0.6250
0.3750 0.6250 0.7500
0.5000 0.0000 0.0000
0.5000 0.0000 0.5000
0.5000 0.5000 0.0000
0.5000 0.5000 0.5000
0.6250 0.3750 0.2500
0.6250 0.7500 0.3750
0.7500 0.3750 0.6250
0.7500 0.8750 0.1250
0.8750 0.1250 0.7500
0.8750 0.2500 0.1250
```